Record 1
Here is crystalline TbY3C at its relaxed geometry from the Open Quantum Materials Database. Energies are from GGA-PBE.

## Properties
theoretical density: 5.586 g/cm3
SG: Pm-3m
spin magnetization: 0.49 μB/cell
uncorrected energy: -33.31 eV/cell

abc: 5.0672 5.0672 5.0672
angles: 90.00 90.00 90.00
Last column: nearest neighbours and their distance in Å.
Atoms (fractional coordinates):
Tb 0.0000 0.0000 0.0000  12 Y 3.58
Y 0.0000 0.5000 0.5000  2 C 2.53
Y 0.5000 0.0000 0.5000  2 C 2.53
Y 0.5000 0.5000 0.0000  2 C 2.53
C 0.5000 0.5000 0.5000  6 Y 2.53

=====

Record 2
Here is crystalline Tb2Y2C at its relaxed geometry from the Open Quantum Materials Database. Energies are from GGA-PBE.

## Properties
theoretical density: 6.267 g/cm3
SG: P-3m1
spin magnetization: 0.07 μB/cell
uncorrected energy: -32.11 eV/cell

abc: 3.5711 3.5711 12.1804
angles: 90.00 90.00 120.00
Last column: nearest neighbours and their distance in Å.
Atoms (fractional coordinates):
Tb 0.3333 0.6667 0.3868  9 Tb 3.44-3.57
Tb 0.6667 0.3333 0.6132  9 Tb 3.44-3.57
Y 0.3333 0.6667 0.8881  3 C 2.47
Y 0.6667 0.3333 0.1119  3 C 2.47
C 0.0000 0.0000 0.0000  6 Y 2.47

=====

Record 3
Here is crystalline Tb2ZrC3 at its relaxed geometry from the Open Quantum Materials Database. Energies are from GGA-PBE.

## Properties
theoretical density: 8.033 g/cm3
SG: P-3m1
spin magnetization: 0.01 μB/cell
uncorrected energy: -46.74 eV/cell

abc: 3.4953 3.4953 8.6966
angles: 90.00 90.00 120.00
Last column: nearest neighbours and their distance in Å.
Atoms (fractional coordinates):
Tb 0.3333 0.6667 0.1726  6 C 2.52-2.56
Tb 0.6667 0.3333 0.8274  6 C 2.52-2.56
Zr 0.0000 0.0000 0.5000  6 C 2.39
C 0.0000 0.0000 0.0000  6 Tb 2.52
C 0.3333 0.6667 0.6467  3 Zr 2.39, 3 Tb 2.56
C 0.6667 0.3333 0.3533  3 Zr 2.39, 3 Tb 2.56

=====

Record 4
Here is crystalline TcC2 at its relaxed geometry from the Open Quantum Materials Database. Energies are from GGA-PBE.

## Properties
theoretical density: 2.489 g/cm3
SG: Fd-3m
spin magnetization: 0.00 μB/cell
uncorrected energy: -47.92 eV/cell

abc: 6.1295 6.1295 6.1295
angles: 60.00 60.00 60.00
Last column: nearest neighbours and their distance in Å.
Atoms (fractional coordinates):
Tc 0.1250 0.1250 0.1250  4 C 1.88
Tc 0.8750 0.8750 0.8750  4 C 1.88
C 0.0000 0.0000 0.0000  2 Tc 1.88
C 0.0000 0.0000 0.5000  2 Tc 1.88
C 0.0000 0.5000 0.0000  2 Tc 1.88
C 0.5000 0.0000 0.0000  2 Tc 1.88

=====

Record 5
Here is crystalline TcC2 at its relaxed geometry from the Open Quantum Materials Database. Energies are from GGA-PBE.

## Properties
theoretical density: 7.316 g/cm3
SG: Fd-3m
spin magnetization: 0.02 μB/cell
uncorrected energy: -41.46 eV/cell

abc: 4.2788 4.2788 4.2788
angles: 60.00 60.00 60.00
Last column: nearest neighbours and their distance in Å.
Atoms (fractional coordinates):
Tc 0.1250 0.1250 0.1250  12 C 2.51, 4 Tc 2.62
Tc 0.8750 0.8750 0.8750  12 C 2.51, 4 Tc 2.62
C 0.0000 0.5000 0.5000  6 C 2.14
C 0.5000 0.0000 0.5000  6 C 2.14
C 0.5000 0.5000 0.0000  6 C 2.14
C 0.5000 0.5000 0.5000  6 C 2.14

=====

Record 6
Here is crystalline TcC at its relaxed geometry from the Open Quantum Materials Database. Energies are from GGA-PBE.

## Properties
theoretical density: 9.190 g/cm3
SG: P-6m2
spin magnetization: 0.00 μB/cell
uncorrected energy: -19.32 eV/cell

abc: 2.8673 2.8673 2.7917
angles: 90.00 90.00 120.00
Last column: nearest neighbours and their distance in Å.
Atoms (fractional coordinates):
Tc 0.0000 0.0000 0.0000  6 C 2.17
C 0.3333 0.6667 0.5000  6 Tc 2.17

=====

Record 7
Here is crystalline TcC2 at its relaxed geometry from the Open Quantum Materials Database. Energies are from GGA-PBE.

## Properties
theoretical density: 5.785 g/cm3
SG: P2_1/c
spin magnetization: 0.00 μB/cell
uncorrected energy: -97.13 eV/cell

abc: 5.6847 4.8877 5.7582
angles: 90.00 118.87 90.00
Last column: nearest neighbours and their distance in Å.
Atoms (fractional coordinates):
Tc 0.2406 0.0105 0.2569  6 C 1.97-2.18
Tc 0.2406 0.4895 0.7569  6 C 1.97-2.18
Tc 0.7594 0.5105 0.2431  6 C 1.97-2.18
Tc 0.7594 0.9895 0.7431  6 C 1.97-2.18
C 0.1396 0.7312 0.4483  3 Tc 1.97-2.18
C 0.1396 0.7688 0.9483  3 Tc 1.97-2.18
C 0.4259 0.1915 0.6517  3 Tc 1.97-2.18
C 0.4259 0.3085 0.1517  3 Tc 1.97-2.18
C 0.5741 0.6915 0.8483  3 Tc 1.97-2.18
C 0.5741 0.8085 0.3483  3 Tc 1.97-2.18
C 0.8604 0.2312 0.0517  3 Tc 1.97-2.18
C 0.8604 0.2688 0.5517  3 Tc 1.97-2.18

=====

Record 8
Here is crystalline TcC at its relaxed geometry from the Open Quantum Materials Database. Energies are from GGA-PBE.

## Properties
theoretical density: 8.991 g/cm3
SG: Fm-3m
spin magnetization: 0.36 μB/cell
uncorrected energy: -18.29 eV/cell

abc: 3.0628 3.0628 3.0628
angles: 60.00 60.00 60.00
Last column: nearest neighbours and their distance in Å.
Atoms (fractional coordinates):
Tc 0.0000 0.0000 0.0000  6 C 2.17
C 0.5000 0.5000 0.5000  6 Tc 2.17

=====

Record 9
Here is crystalline Th3TcC3 at its relaxed geometry from the Open Quantum Materials Database. Energies are from GGA-PBE.

## Properties
theoretical density: 10.722 g/cm3
SG: Cmcm
spin magnetization: 0.09 μB/cell
uncorrected energy: -124.56 eV/cell

abc: 6.9840 6.9840 5.3490
angles: 90.00 90.00 99.76
Last column: nearest neighbours and their distance in Å.
Atoms (fractional coordinates):
Th 0.1120 0.8880 0.7500  5 C 2.48-2.68
Th 0.1678 0.4113 0.7500  5 C 2.61-2.76
Th 0.4113 0.1678 0.2500  5 C 2.61-2.76
Th 0.5887 0.8322 0.7500  5 C 2.61-2.76
Th 0.8322 0.5887 0.2500  5 C 2.61-2.76
Th 0.8880 0.1120 0.2500  5 C 2.48-2.68
Tc 0.3082 0.6918 0.2500  3 C 2.00-2.03
Tc 0.6918 0.3082 0.7500  3 C 2.00-2.03
C 0.1205 0.8795 0.2500  1 Tc 2.00
C 0.1594 0.4162 0.2500  1 Tc 2.03
C 0.4162 0.1594 0.7500  1 Tc 2.03
C 0.5838 0.8406 0.2500  1 Tc 2.03
C 0.8406 0.5838 0.7500  1 Tc 2.03
C 0.8795 0.1205 0.7500  1 Tc 2.00

=====

Record 10
Here is crystalline Y2TlTcC at its relaxed geometry from the Open Quantum Materials Database. Energies are from GGA-PBE.

## Properties
theoretical density: 8.056 g/cm3
SG: P4/mmm
spin magnetization: 0.00 μB/cell
uncorrected energy: -36.58 eV/cell

abc: 5.0200 5.0200 4.0258
angles: 90.00 90.00 90.00
Last column: nearest neighbours and their distance in Å.
Atoms (fractional coordinates):
Y 0.0000 0.5000 0.0000  2 C 2.51
Y 0.5000 0.0000 0.0000  2 C 2.51
Tl 0.0000 0.0000 0.5000  8 Y 3.22, 4 Tc 3.55
Tc 0.5000 0.5000 0.5000  2 C 2.01
C 0.5000 0.5000 0.0000  2 Tc 2.01

=====

Record 11
Here is crystalline Tm2TcC2 at its relaxed geometry from the Open Quantum Materials Database. Energies are from GGA-PBE.

## Properties
theoretical density: 9.600 g/cm3
SG: C2/m
spin magnetization: 0.00 μB/cell
uncorrected energy: -79.27 eV/cell

abc: 6.0266 6.0266 6.5735
angles: 115.33 115.33 49.03
Last column: nearest neighbours and their distance in Å.
Atoms (fractional coordinates):
Tm 0.0290 0.0290 0.2724  4 C 2.36-2.51
Tm 0.3221 0.3221 0.8801  5 C 2.42-2.62
Tm 0.6779 0.6779 0.1199  5 C 2.42-2.62
Tm 0.9710 0.9710 0.7276  4 C 2.36-2.51
Tc 0.3617 0.3617 0.3719  3 C 1.94-2.09
Tc 0.6383 0.6383 0.6281  3 C 1.94-2.09
C 0.1791 0.1791 0.1068  1 Tc 1.94
C 0.4923 0.4923 0.7267  2 Tc 1.99-2.09
C 0.5077 0.5077 0.2733  2 Tc 1.99-2.09
C 0.8209 0.8209 0.8932  1 Tc 1.94

=====

Record 12
Here is crystalline Y2Tc2C3 at its relaxed geometry from the Open Quantum Materials Database. Energies are from GGA-PBE.

## Properties
theoretical density: 6.733 g/cm3
SG: C2/m
spin magnetization: 0.00 μB/cell
uncorrected energy: -63.73 eV/cell

abc: 6.0626 6.0626 5.6925
angles: 113.00 113.00 31.92
Last column: nearest neighbours and their distance in Å.
Atoms (fractional coordinates):
Y 0.1091 0.1091 0.3212  5 C 2.43-2.55
Y 0.8909 0.8909 0.6788  5 C 2.43-2.55
Tc 0.3417 0.3417 0.1795  4 C 2.00-2.12
Tc 0.6583 0.6583 0.8205  4 C 2.00-2.12
C 0.2532 0.2532 0.7724  3 Tc 2.08-2.12
C 0.5000 0.5000 0.5000  2 Tc 2.00
C 0.7468 0.7468 0.2276  3 Tc 2.08-2.12